[1]
First-principles (PBE+U) data for crystalline Mn2FeBr2O2 at its relaxed geometry, as listed in the Alexandria database.

The structure in POSCAR format:
```
Mn2FeBr2O2
1.0
-0.940 3.535 0.495
-4.744 0.036 4.500
1.256 1.379 6.310
Br O Mn Fe
2 2 2 1
direct
0.599 0.190 0.612
0.401 0.810 0.388
0.836 0.303 0.026
0.164 0.697 0.974
0.755 0.686 0.803
0.245 0.314 0.197
0.000 0.000 0.000
```

Summary:
V ... 18.31 A^3/atom
Calculated total energy ... -42.4 eV per formula unit
Symmetry ... C2/m (12)
DOS at the Fermi energy ... 0.000 states/eV per cell

=====

[2]
First-principles (PBE+U) data for crystalline MnFeBrO2 at its relaxed geometry, as listed in the Alexandria database.

The structure in POSCAR format:
```
MnFeBrO2
1.0
-0.065 1.332 3.679
3.505 -5.097 1.907
6.458 3.058 -0.992
Fe Mn O Br
2 2 4 2
direct
0.250 0.934 0.860
0.750 0.066 0.140
0.750 0.156 0.585
0.250 0.844 0.415
0.250 0.950 0.134
0.750 0.050 0.866
0.750 0.909 0.402
0.250 0.091 0.598
0.250 0.585 0.734
0.750 0.415 0.266
```

Summary:
V ... 18.16 A^3/atom
Calculated total energy ... -30.8 eV per formula unit
Symmetry ... P2_1/m (11)
DOS at the Fermi energy ... 3.103 states/eV per cell

=====

> What is the DOS at the Fermi energy in the second record?

3.103 states/eV per cell